Material: TmNpBi
Method: DFT, PBE
State: relaxed

Cell: 7.339 7.339 7.339 Å, 90.00 90.00 90.00°
Space group F-43m (No. 216)
Inequivalent atoms, fractional coordinates:
Tm: 0.000 0.000 0.000
Np: 0.250 0.250 0.250
Bi: 0.250 0.250 0.750

## Properties
Electronic total energy   -6.58 eV/atom